The following is a DFT calculation (PBE-GGA) of crystalline CrRe2Rh at its relaxed geometry.

Properties
Calculated formation energy (eV/atom): 0.035
ρ (kg/m³): 15526
Total moment (μB per formula unit): 0.009
Excess energy over the best structure of this formula in the dataset (kcal/mol of atoms): 0.48

Cell lengths 4.704, 2.705, 4.707 Å; angles 90.00, 109.65, 90.00 degrees
Positions (direct):
1 Cr 0.000 0.000 0.000
2 Re 0.000 0.500 0.500
3 Re 0.500 0.000 0.500
4 Rh 0.500 0.500 0.000

***

The following is a DFT calculation (PBE-GGA) of crystalline CrRe2Rh at its relaxed geometry.

Properties
Calculated formation energy (eV/atom): 0.050
ρ (kg/m³): 15557
Total moment (μB per formula unit): 0.000
Excess energy over the best structure of this formula in the dataset (kcal/mol of atoms): 0.81

Cell lengths 2.705, 3.788, 5.493 Å; angles 90.00, 90.00, 90.00 degrees
Positions (direct):
1 Cr 0.000 0.000 0.000
2 Re 0.500 0.500 0.230
3 Re 0.500 0.500 0.770
4 Rh 0.000 0.000 0.500

***

The following is a DFT calculation (PBE-GGA) of crystalline CrRe2Rh at its relaxed geometry.

Properties
Calculated formation energy (eV/atom): 0.081
ρ (kg/m³): 15466
Total moment (μB per formula unit): 0.000
Excess energy over the best structure of this formula in the dataset (kcal/mol of atoms): 1.52

Cell lengths 2.730, 2.730, 26.307 Å; angles 90.00, 90.00, 120.00 degrees
Positions (direct):
1 Cr 0.000 0.000 0.000
2 Cr 0.333 0.667 0.667
3 Cr 0.667 0.333 0.333
4 Re 0.000 0.000 0.501
5 Re 0.000 0.000 0.750
6 Re 0.333 0.667 0.168
7 Re 0.333 0.667 0.416
8 Re 0.667 0.333 0.083
9 Re 0.667 0.333 0.834
10 Rh 0.000 0.000 0.256
11 Rh 0.333 0.667 0.923
12 Rh 0.667 0.333 0.589

***

The following is a DFT calculation (PBE-GGA) of crystalline CrRe2Rh at its relaxed geometry.

Properties
Calculated formation energy (eV/atom): 0.234
ρ (kg/m³): 15373
Total moment (μB per formula unit): 0.001
Excess energy over the best structure of this formula in the dataset (kcal/mol of atoms): 5.05

Cell lengths 3.167, 3.167, 5.678 Å; angles 90.00, 90.00, 90.00 degrees
Positions (direct):
1 Cr 0.000 0.000 0.000
2 Re 0.500 0.500 0.223
3 Re 0.500 0.500 0.777
4 Rh 0.000 0.000 0.500

***

The following is a DFT calculation (PBE-GGA) of crystalline Cr3ReRh12 at its relaxed geometry.

Properties
Calculated formation energy (eV/atom): -0.115
ρ (kg/m³): 11760
Total moment (μB per formula unit): 4.822

Cell lengths 3.820, 3.820, 15.257 Å; angles 90.00, 90.00, 90.00 degrees
Positions (direct):
1 Cr 0.000 0.000 0.000
2 Cr 0.000 0.000 0.244
3 Cr 0.000 0.000 0.756
4 Re 0.000 0.000 0.500
5 Rh 0.000 0.500 0.125
6 Rh 0.000 0.500 0.375
7 Rh 0.000 0.500 0.625
8 Rh 0.000 0.500 0.875
9 Rh 0.500 0.000 0.125
10 Rh 0.500 0.000 0.375
11 Rh 0.500 0.000 0.625
12 Rh 0.500 0.000 0.875
13 Rh 0.500 0.500 0.000
14 Rh 0.500 0.500 0.250
15 Rh 0.500 0.500 0.500
16 Rh 0.500 0.500 0.750

***

The following is a DFT calculation (PBE-GGA) of crystalline CrReRh3 at its relaxed geometry.

Properties
Calculated formation energy (eV/atom): 1.270
ρ (kg/m³): 8827
Total moment (μB per formula unit): 4.620
Excess energy over the best structure of this formula in the dataset (kcal/mol of atoms): 31.03

Cell lengths 4.686, 4.686, 4.686 Å; angles 90.00, 90.00, 90.00 degrees
Positions (direct):
1 Cr 0.000 0.000 0.000
2 Re 0.500 0.500 0.500
3 Rh 0.000 0.500 0.500
4 Rh 0.500 0.000 0.500
5 Rh 0.500 0.500 0.000